# AcPm5P6 PBE relaxed
data_AcPm5P6
_chemical_formula_sum 'Ac2 Pm10 P12'
_cell_length_a 7.2568
_cell_length_b 12.5646
_cell_length_c 7.2542
_cell_angle_alpha 90.00
_cell_angle_beta 109.50
_cell_angle_gamma 90.00
_symmetry_space_group_name_H-M 'C 1 2/m 1'
_symmetry_Int_Tables_number 12
loop_
_symmetry_equiv_pos_as_xyz
'x,y,z'
'-x,-y,-z'
'-x,y,-z'
'x,-y,z'
'x+1/2,y+1/2,z'
'-x+1/2,-y+1/2,-z'
'-x+1/2,y+1/2,-z'
'x+1/2,-y+1/2,z'
loop_
_atom_site_label
_atom_site_fract_x
_atom_site_fract_y
_atom_site_fract_z
Ac1 0.0000 0.0000 0.0000
Pm1 0.0000 0.1658 0.5000
Pm2 0.0000 0.3330 0.0000
Pm3 0.0000 0.5000 0.5000
P1 0.2428 0.5000 0.2548
P2 0.2438 0.3290 0.7445
# DFT total energy ... -157.283 eV for the cell shown
# Density ... 6.1 g/cm³
# Crystal system ... monoclinic
# ΔH_f (0 K) ... -1.5267 eV/atom